Below is crystalline MgScVS4 at its relaxed geometry, with properties calculated at the PBEsol level.

Energy relative to the elements, uncorrected in meV per atom: -1383
Fermi-level density of states in states/eV/atom: 0.676
Symmetry: Imma, No. 74

Structure (extended XYZ):
```
14
Lattice="-3.664 3.700 5.099 3.664 -3.700 5.099 3.664 3.700 -5.099" Properties=species:S:1:pos:R:3 pbc="T T T"
Mg 0.000 1.850 1.312
Mg 3.664 1.850 3.787
Sc 3.664 0.000 0.000
Sc 0.000 0.000 5.099
V 1.832 1.850 -2.550
V 1.832 -1.850 2.550
S 3.664 3.452 -2.549
S 3.664 -0.248 2.549
S 1.927 1.850 -0.125
S 5.400 1.850 -0.125
S -1.737 1.850 5.225
S 1.737 1.850 5.225
S 0.000 3.947 2.550
S 0.000 0.248 7.648
```

Below is crystalline Sr3BPt at its relaxed geometry, with properties calculated at the PBEsol level.

E_form in eV per formula unit: 2.6
Fermi-level density of states in states/eV/atom: 0.766
Symmetry: Pm-3m, No. 221

Structure (extended XYZ):
```
5
Lattice="5.684 0.000 0.000 0.000 5.684 0.000 0.000 0.000 5.684" Properties=species:S:1:pos:R:3 pbc="T T T"
Sr 0.000 0.000 2.842
Sr 0.000 2.842 0.000
Sr 2.842 0.000 0.000
B 2.842 2.842 2.842
Pt 0.000 0.000 0.000
```

Below is crystalline Mg2In2Pb at its relaxed geometry, with properties calculated at the PBEsol level.

E_form in eV per formula unit: -0.3
Fermi-level density of states in states/eV/atom: 0.415
Symmetry: P4/mbm, No. 127

Structure (extended XYZ):
```
10
Lattice="8.588 0.000 0.000 0.000 8.588 0.000 0.000 0.000 3.325" Properties=species:S:1:pos:R:3 pbc="T T T"
Mg 1.481 2.813 0.000
Mg 2.813 7.108 0.000
Mg 5.775 1.481 0.000
Mg 7.108 5.775 0.000
In 1.088 5.382 1.663
In 3.206 1.088 1.663
In 5.382 7.501 1.663
In 7.501 3.206 1.663
Pb 0.000 0.000 1.663
Pb 4.294 4.294 1.663
```

Below is crystalline SiSb2P at its relaxed geometry, with properties calculated at the PBEsol level.

Energy relative to the elements, uncorrected in meV per atom: 512
Fermi-level density of states in states/eV/atom: 0.608
Symmetry: F-43m, No. 216
Energy above the most stable polymorph in this dataset in eV per atom: 0.239

Structure (extended XYZ):
```
4
Lattice="0.000 3.449 3.449 3.449 0.000 3.449 3.449 3.449 0.000" Properties=species:S:1:pos:R:3 pbc="T T T"
Si 0.000 0.000 0.000
Sb 1.724 1.724 1.724
Sb 3.449 3.449 3.449
P 5.173 5.173 5.173
```

Below is crystalline Sc2ZnFe at its relaxed geometry, with properties calculated at the PBEsol level.

E_form in eV per formula unit: -1.1
Fermi-level density of states in states/eV/atom: 0.761
Symmetry: P4/mmm, No. 123

Structure (extended XYZ):
```
4
Lattice="3.136 0.000 0.000 0.000 3.136 0.000 0.000 0.000 6.624" Properties=species:S:1:pos:R:3 pbc="T T T"
Sc 0.000 0.000 1.466
Sc 0.000 0.000 5.158
Zn 1.568 1.568 3.312
Fe 1.568 1.568 0.000
```

Below is crystalline Hf2CuPbC at its relaxed geometry, with properties calculated at the PBEsol level.

E_form in eV per formula unit: 11.6
Fermi-level density of states in states/eV/atom: 0.773
Symmetry: P4/mmm, No. 123

Structure (extended XYZ):
```
5
Lattice="5.373 0.000 0.000 0.000 5.373 0.000 0.000 0.000 4.119" Properties=species:S:1:pos:R:3 pbc="T T T"
Hf 0.000 2.686 0.000
Hf 2.686 0.000 0.000
Cu 0.000 0.000 2.060
Pb 2.686 2.686 0.000
C 2.686 2.686 2.060
```

Below is crystalline CaCuNO2 at its relaxed geometry, with properties calculated at the PBEsol level.

Energy relative to the elements, uncorrected in meV per atom: 764
Fermi-level density of states in states/eV/atom: 0.722
Symmetry: P4/mmm, No. 123

Structure (extended XYZ):
```
5
Lattice="4.258 0.000 0.000 0.000 4.258 0.000 0.000 0.000 4.484" Properties=species:S:1:pos:R:3 pbc="T T T"
Ca 0.000 0.000 0.000
Cu 2.129 2.129 2.242
N 0.000 0.000 2.242
O 0.000 2.129 0.000
O 2.129 0.000 0.000
```

Below is crystalline Sr2TeBr at its relaxed geometry, with properties calculated at the PBEsol level.

Energy relative to the elements, uncorrected in meV per atom: -1310
Fermi-level density of states in states/eV/atom: 0.538
Symmetry: I-42d, No. 122
Energy above the most stable polymorph in this dataset in eV per atom: 0.173

Structure (extended XYZ):
```
8
Lattice="-3.556 3.556 7.316 3.556 -3.556 7.316 3.556 3.556 -7.316" Properties=species:S:1:pos:R:3 pbc="T T T"
Sr 5.334 1.726 -1.829
Sr 1.726 1.778 1.829
Sr -1.778 1.830 5.487
Sr 1.830 1.778 9.145
Te 3.556 0.000 3.658
Te 0.000 0.000 7.316
Br 0.000 0.000 0.000
Br 0.000 3.556 3.658
```

Below is crystalline ScGeSeN2 at its relaxed geometry, with properties calculated at the PBEsol level.

Energy relative to the elements, uncorrected in meV per atom: 538
Fermi-level density of states in states/eV/atom: 0.795
Symmetry: P4/mmm, No. 123

Structure (extended XYZ):
```
5
Lattice="4.045 0.000 0.000 0.000 4.045 0.000 0.000 0.000 5.385" Properties=species:S:1:pos:R:3 pbc="T T T"
Sc 0.000 0.000 0.000
Ge 2.023 2.023 2.692
Se 0.000 0.000 2.692
N 0.000 2.023 0.000
N 2.023 0.000 0.000
```

Below is crystalline Na3NiO at its relaxed geometry, with properties calculated at the PBEsol level.

Energy relative to the elements, uncorrected in meV per atom: 694
Fermi-level density of states in states/eV/atom: 2.482
Symmetry: Pm-3m, No. 221

Structure (extended XYZ):
```
5
Lattice="5.062 0.000 0.000 0.000 5.062 0.000 0.000 0.000 5.062" Properties=species:S:1:pos:R:3 pbc="T T T"
Na 0.000 0.000 2.531
Na 0.000 2.531 0.000
Na 2.531 0.000 0.000
Ni 0.000 0.000 0.000
O 2.531 2.531 2.531
```

Below is crystalline KLaCo2 at its relaxed geometry, with properties calculated at the PBEsol level.

E_form in eV per formula unit: 3.8
Fermi-level density of states in states/eV/atom: 1.562
Symmetry: F-43m, No. 216
Energy above the most stable polymorph in this dataset in eV per atom: 0.348

Structure (extended XYZ):
```
4
Lattice="0.000 3.369 3.369 3.369 0.000 3.369 3.369 3.369 0.000" Properties=species:S:1:pos:R:3 pbc="T T T"
K 0.000 0.000 0.000
La 5.054 5.054 5.054
Co 1.685 1.685 1.685
Co 3.369 3.369 3.369
```

Below is crystalline SrPtN2 at its relaxed geometry, with properties calculated at the PBEsol level.

Energy relative to the elements, uncorrected in meV per atom: 756
Fermi-level density of states in states/eV/atom: 0.508
Symmetry: Fm-3m, No. 225

Structure (extended XYZ):
```
4
Lattice="0.000 2.936 2.936 2.936 0.000 2.936 2.936 2.936 0.000" Properties=species:S:1:pos:R:3 pbc="T T T"
Sr 0.000 0.000 0.000
Pt 2.936 2.936 2.936
N 1.468 1.468 1.468
N 4.404 4.404 4.404
```

> Look up the Fermi-level density of states of the third one.

0.415 states/eV/atom